This record from the Alexandria database describes a relaxed Rb2MoCl5 crystal. The functional is PBE-GGA.

Computed properties:
Total magnetic moment   3.0 μB/f.u.
Polymorph energy (0 for the lowest one)   0.054 eV/atom
Formation energy (no corrections)   -10.92 eV per formula unit

Cell and atoms, written as CIF:
```
data_Rb2MoCl5
_cell_length_a 7.118
_cell_length_b 7.118
_cell_length_c 7.118
_cell_angle_alpha 115.19
_cell_angle_beta 115.19
_cell_angle_gamma 98.56
_symmetry_space_group_name_H-M 'P 1'
_symmetry_Int_Tables_number 1
loop_
_symmetry_equiv_pos_as_xyz
'x,y,z'
loop_
_atom_site_label
_atom_site_type_symbol
_atom_site_fract_x
_atom_site_fract_y
_atom_site_fract_z
_atom_site_occupancy
Rb1 Rb 0.000 0.500 0.500 1
Rb2 Rb 0.500 0.000 0.500 1
Mo1 Mo 0.277 0.277 0.000 1
Cl1 Cl 0.022 0.022 0.551 1
Cl2 Cl 0.022 0.471 0.000 1
Cl3 Cl 0.471 0.022 0.000 1
Cl4 Cl 0.471 0.471 0.449 1
Cl5 Cl 0.526 0.526 0.000 1
```